Record 1
Compound: MgCrI6
Source: the Alexandria database
Functional: PBE
Structure: relaxed

Cell: 6.960 13.268 7.014 Å, 90.00 91.13 90.00°
Fractional coordinates of all 16 atoms:
Mg (0.000, 0.000, 0.000)
Mg (0.500, 0.500, 0.000)
Cr (0.000, 0.000, 0.500)
Cr (0.500, 0.500, 0.500)
I (0.155, 0.145, 0.272)
I (0.155, 0.855, 0.272)
I (0.182, 0.500, 0.264)
I (0.318, 0.000, 0.736)
I (0.345, 0.355, 0.728)
I (0.345, 0.645, 0.728)
I (0.655, 0.355, 0.272)
I (0.655, 0.645, 0.272)
I (0.682, 0.000, 0.264)
I (0.818, 0.500, 0.736)
I (0.845, 0.145, 0.728)
I (0.845, 0.855, 0.728)

Summary:
- formation energy without anion corrections (eV/f.u.) = -3.96
- total energy (Ry/atom) = -0.225
- ρ (g cm⁻³) = 4.30

***

Record 2
Compound: MgCrMoI2
Source: the Alexandria database
Functional: PBE
Structure: relaxed

Cell: 5.375 5.375 5.377 Å, 90.00 90.00 90.00°
Fractional coordinates of all 5 atoms:
Mg (0.000, 0.000, 0.000)
Cr (0.500, 0.500, 0.000)
Mo (0.000, 0.000, 0.500)
I (0.000, 0.500, 0.500)
I (0.500, 0.000, 0.500)

Summary:
- formation energy without anion corrections (eV/f.u.) = 5.02
- total energy (Ry/atom) = -0.296
- ρ (g cm⁻³) = 4.55

***

Record 3
Compound: MgCrIN2
Source: the Alexandria database
Functional: PBE
Structure: relaxed

Cell: 3.821 3.821 5.506 Å, 90.00 90.00 90.00°
Fractional coordinates of all 5 atoms:
Mg (0.000, 0.000, 0.000)
Cr (0.500, 0.500, 0.500)
I (0.500, 0.500, 0.000)
N (0.000, 0.500, 0.500)
N (0.500, 0.000, 0.500)

Summary:
- formation energy without anion corrections (eV/f.u.) = 2.57
- total energy (Ry/atom) = -0.395
- ρ (g cm⁻³) = 4.78